Record 1
NdSmScZn: relaxed, PBE-GGA.

## Properties
ΔE_f   -0.01 eV per atom
Distance to the lowest polymorph of the same formula   0.52 eV per formula unit
Total energy   -17.1 eV per formula unit
M_tot   0.0 μB/f.u.
DOS(E_F)   4.821 states/eV/f.u.
V   425.2 Å³/cell

CIF file:
```
data_NdSmScZn
_cell_length_a 7.520
_cell_length_b 7.520
_cell_length_c 7.520
_cell_angle_alpha 90.00
_cell_angle_beta 90.00
_cell_angle_gamma 90.00
_symmetry_space_group_name_H-M 'F -4 3 m'
_symmetry_Int_Tables_number 216
_symmetry_space_group_name_Hall 'F -4 2 3'
loop_
_atom_site_label
_atom_site_fract_x
_atom_site_fract_y
_atom_site_fract_z
Nd1 0.000 0.000 0.000
Sm1 0.000 0.000 0.500
Sc1 0.250 0.250 0.250
Zn1 0.250 0.250 0.750
```

Record 2
RuICl3: relaxed, PBE-GGA.

## Properties
Distance to the lowest polymorph of the same formula   6.70 eV per formula unit
Total energy   -11.4 eV per formula unit
M_tot   3.1 μB/f.u.
DOS(E_F)   1.597 states/eV/f.u.
Formation energy from raw total energies   0.998 eV per atom
V   170.4 Å³/cell

CIF file:
```
data_RuICl3
_cell_length_a 5.545
_cell_length_b 5.545
_cell_length_c 5.545
_cell_angle_alpha 90.00
_cell_angle_beta 90.00
_cell_angle_gamma 90.00
_symmetry_space_group_name_H-M 'P m -3 m'
_symmetry_Int_Tables_number 221
_symmetry_space_group_name_Hall '-P 4 2 3'
loop_
_atom_site_label
_atom_site_fract_x
_atom_site_fract_y
_atom_site_fract_z
Ru1 0.000 0.000 0.000
I1 0.500 0.500 0.500
Cl1 0.000 0.500 0.500
```

Record 3
SrScHg2: relaxed, PBE-GGA.

## Properties
ΔE_f   -0.24 eV per atom
Total energy   -9.6 eV per formula unit
M_tot   0.4 μB/f.u.
DOS(E_F)   4.015 states/eV/f.u.
V   115.2 Å³/cell

CIF file:
```
data_SrScHg2
_cell_length_a 4.018
_cell_length_b 4.098
_cell_length_c 6.995
_cell_angle_alpha 90.00
_cell_angle_beta 90.00
_cell_angle_gamma 90.00
_symmetry_space_group_name_H-M 'P m m 2'
_symmetry_Int_Tables_number 25
loop_
_symmetry_equiv_pos_as_xyz
'x,y,z'
'-x,-y,z'
'-x,y,z'
'x,-y,z'
loop_
_atom_site_label
_atom_site_fract_x
_atom_site_fract_y
_atom_site_fract_z
Sr1 0.000 0.000 0.000
Sc1 0.500 0.500 0.636
Hg1 0.000 0.000 0.510
Hg2 0.500 0.500 0.224
```

Record 4
Fe6NiRh2: relaxed, PBE-GGA.

## Properties
ΔE_f   0.26 eV per atom
Total energy   -68.9 eV per formula unit
M_tot   18.3 μB/f.u.
DOS(E_F)   11.850 states/eV/f.u.
V   235.2 Å³/cell

CIF file:
```
data_Fe6NiRh2
_cell_length_a 2.542
_cell_length_b 7.254
_cell_length_c 12.757
_cell_angle_alpha 90.00
_cell_angle_beta 90.00
_cell_angle_gamma 90.00
_symmetry_space_group_name_H-M 'I m m m'
_symmetry_Int_Tables_number 71
_symmetry_space_group_name_Hall '-I 2 2'
loop_
_atom_site_label
_atom_site_fract_x
_atom_site_fract_y
_atom_site_fract_z
Fe1 0.000 0.178 0.164
Fe2 0.000 0.193 0.500
Ni1 0.000 0.000 0.000
Rh1 0.000 0.000 0.335
```

Record 5
Th2SnPd: relaxed, PBE-GGA.

## Properties
ΔE_f   -0.08 eV per atom
Total energy   -24.3 eV per formula unit
M_tot   0.0 μB/f.u.
DOS(E_F)   4.829 states/eV/f.u.
V   359.2 Å³/cell

CIF file:
```
data_Th2SnPd
_cell_length_a 3.5859
_cell_length_b 3.5859
_cell_length_c 32.2577
_cell_angle_alpha 90.00
_cell_angle_beta 90.00
_cell_angle_gamma 120.00
_symmetry_space_group_name_H-M 'R -3 m'
_symmetry_Int_Tables_number 166
_symmetry_space_group_name_Hall '-R 3 2"'
loop_
_atom_site_label
_atom_site_fract_x
_atom_site_fract_y
_atom_site_fract_z
Th1 0.0000 0.0000 0.1002
Sn1 0.0000 0.0000 0.0000
Pd1 0.0000 0.0000 0.5000
```

Record 6
CaH6Pd8: relaxed, PBE-GGA.

## Properties
Total energy   -67.0 eV per formula unit
M_tot   0.0 μB/f.u.
DOS(E_F)   2.466 states/eV/f.u.
V   491.3 Å³/cell

CIF file:
```
data_CaH6Pd8
_cell_length_a 5.1486
_cell_length_b 5.1486
_cell_length_c 21.4009
_cell_angle_alpha 90.00
_cell_angle_beta 90.00
_cell_angle_gamma 120.00
_symmetry_space_group_name_H-M 'R -3'
_symmetry_Int_Tables_number 148
_symmetry_space_group_name_Hall '-R 3'
loop_
_atom_site_label
_atom_site_fract_x
_atom_site_fract_y
_atom_site_fract_z
Ca1 0.0000 0.0000 0.0000
H1 0.0041 0.3294 0.4149
Pd1 0.0000 0.0000 0.3344
Pd2 0.0004 0.3312 0.2211
```

Record 7
CeDy2ZrP4: relaxed, PBE-GGA.

## Properties
ΔE_f   -1.51 eV per atom
Total energy   -57.4 eV per formula unit
M_tot   0.3 μB/f.u.
DOS(E_F)   5.538 states/eV/f.u.
V   174.5 Å³/cell

CIF file:
```
data_CeDy2ZrP4
_cell_length_a 6.835
_cell_length_b 3.950
_cell_length_c 6.847
_cell_angle_alpha 90.00
_cell_angle_beta 109.29
_cell_angle_gamma 90.00
_symmetry_space_group_name_H-M 'P 1 2/m 1'
_symmetry_Int_Tables_number 10
loop_
_symmetry_equiv_pos_as_xyz
'x,y,z'
'-x,-y,-z'
'-x,y,-z'
'x,-y,z'
loop_
_atom_site_label
_atom_site_fract_x
_atom_site_fract_y
_atom_site_fract_z
Ce1 0.000 0.000 0.000
Dy1 0.500 0.000 0.500
Dy2 0.500 0.500 0.000
Zr1 0.000 0.500 0.500
P1 0.240 0.000 0.739
P2 0.246 0.500 0.258
```

Record 8
YNpTe2O: relaxed, PBE-GGA.

## Properties
Total energy   -39.4 eV per formula unit
M_tot   3.7 μB/f.u.
DOS(E_F)   5.974 states/eV/f.u.
Formation energy from raw total energies   -1.757 eV per atom
V   268.1 Å³/cell

CIF file:
```
data_YNpTe2O
_cell_length_a 4.161
_cell_length_b 4.161
_cell_length_c 15.479
_cell_angle_alpha 90.00
_cell_angle_beta 90.00
_cell_angle_gamma 90.00
_symmetry_space_group_name_H-M 'P 4/n m m'
_symmetry_Int_Tables_number 129
loop_
_symmetry_equiv_pos_as_xyz
'x,y,z'
'-x,-y,-z'
'-y+1/2,x,z'
'y+1/2,-x,-z'
'-x+1/2,-y+1/2,z'
'x+1/2,y+1/2,-z'
'y,-x+1/2,z'
'-y,x+1/2,-z'
'x+1/2,-y,-z'
'-x+1/2,y,z'
'-y,-x,-z'
'y,x,z'
'-x,y+1/2,-z'
'x,-y+1/2,z'
'y+1/2,x+1/2,-z'
'-y+1/2,-x+1/2,z'
loop_
_atom_site_label
_atom_site_fract_x
_atom_site_fract_y
_atom_site_fract_z
Y1 0.250 0.250 0.129
Np1 0.250 0.250 0.570
Te1 0.250 0.250 0.320
Te2 0.250 0.250 0.913
O1 0.250 0.750 0.500
```

Record 9
Eu2MgSi: relaxed, PBE-GGA.

## Properties
Total energy   -28.6 eV per formula unit
M_tot   14.1 μB/f.u.
DOS(E_F)   3.766 states/eV/f.u.
Formation energy from raw total energies   -0.251 eV per atom
V   112.1 Å³/cell

CIF file:
```
data_Eu2MgSi
_cell_length_a 3.727
_cell_length_b 3.727
_cell_length_c 8.070
_cell_angle_alpha 90.00
_cell_angle_beta 90.00
_cell_angle_gamma 90.00
_symmetry_space_group_name_H-M 'P 4/m m m'
_symmetry_Int_Tables_number 123
_symmetry_space_group_name_Hall '-P 4 2'
loop_
_atom_site_label
_atom_site_fract_x
_atom_site_fract_y
_atom_site_fract_z
Eu1 0.000 0.000 0.211
Mg1 0.500 0.500 0.500
Si1 0.500 0.500 0.000
```

Record 10
RhPb2Cl: relaxed, PBE-GGA.

## Properties
Distance to the lowest polymorph of the same formula   0.00 eV per formula unit
Total energy   -17.6 eV per formula unit
M_tot   0.0 μB/f.u.
DOS(E_F)   2.007 states/eV/f.u.
Formation energy from raw total energies   -0.245 eV per atom
V   208.1 Å³/cell

CIF file:
```
data_RhPb2Cl
_cell_length_a 6.918
_cell_length_b 3.997
_cell_length_c 7.849
_cell_angle_alpha 90.00
_cell_angle_beta 106.42
_cell_angle_gamma 90.00
_symmetry_space_group_name_H-M 'C 1 2/m 1'
_symmetry_Int_Tables_number 12
loop_
_symmetry_equiv_pos_as_xyz
'x,y,z'
'-x,-y,-z'
'-x,y,-z'
'x,-y,z'
'x+1/2,y+1/2,z'
'-x+1/2,-y+1/2,-z'
'-x+1/2,y+1/2,-z'
'x+1/2,-y+1/2,z'
loop_
_atom_site_label
_atom_site_fract_x
_atom_site_fract_y
_atom_site_fract_z
Rh1 0.000 0.000 0.000
Pb1 0.231 0.500 0.201
Cl1 0.000 0.500 0.500
```

Record 11
CaMg2Tl8: relaxed, PBE-GGA.

## Properties
ΔE_f   -0.03 eV per atom
Distance to the lowest polymorph of the same formula   0.58 eV per formula unit
Total energy   -24.4 eV per formula unit
M_tot   0.0 μB/f.u.
DOS(E_F)   4.638 states/eV/f.u.
V   649.1 Å³/cell

CIF file:
```
data_CaMg2Tl8
_cell_length_a 8.789
_cell_length_b 13.918
_cell_length_c 5.639
_cell_angle_alpha 90.00
_cell_angle_beta 109.79
_cell_angle_gamma 90.00
_symmetry_space_group_name_H-M 'C 1 2/m 1'
_symmetry_Int_Tables_number 12
loop_
_symmetry_equiv_pos_as_xyz
'x,y,z'
'-x,-y,-z'
'-x,y,-z'
'x,-y,z'
'x+1/2,y+1/2,z'
'-x+1/2,-y+1/2,-z'
'-x+1/2,y+1/2,-z'
'x+1/2,-y+1/2,z'
loop_
_atom_site_label
_atom_site_fract_x
_atom_site_fract_y
_atom_site_fract_z
Ca1 0.000 0.000 0.000
Mg1 0.000 0.311 0.500
Tl1 0.000 0.236 0.000
Tl2 0.106 0.500 0.814
Tl3 0.205 0.116 0.613
```

Please write out number 9 again, unchanged.
Eu2MgSi: relaxed, PBE-GGA.

## Properties
Total energy   -28.6 eV per formula unit
M_tot   14.1 μB/f.u.
DOS(E_F)   3.766 states/eV/f.u.
Formation energy from raw total energies   -0.251 eV per atom
V   112.1 Å³/cell

CIF file:
```
data_Eu2MgSi
_cell_length_a 3.727
_cell_length_b 3.727
_cell_length_c 8.070
_cell_angle_alpha 90.00
_cell_angle_beta 90.00
_cell_angle_gamma 90.00
_symmetry_space_group_name_H-M 'P 4/m m m'
_symmetry_Int_Tables_number 123
_symmetry_space_group_name_Hall '-P 4 2'
loop_
_atom_site_label
_atom_site_fract_x
_atom_site_fract_y
_atom_site_fract_z
Eu1 0.000 0.000 0.211
Mg1 0.500 0.500 0.500
Si1 0.500 0.500 0.000
```

What did the sixth record say?
CaH6Pd8: relaxed, PBE-GGA.

## Properties
Total energy   -67.0 eV per formula unit
M_tot   0.0 μB/f.u.
DOS(E_F)   2.466 states/eV/f.u.
V   491.3 Å³/cell

CIF file:
```
data_CaH6Pd8
_cell_length_a 5.1486
_cell_length_b 5.1486
_cell_length_c 21.4009
_cell_angle_alpha 90.00
_cell_angle_beta 90.00
_cell_angle_gamma 120.00
_symmetry_space_group_name_H-M 'R -3'
_symmetry_Int_Tables_number 148
_symmetry_space_group_name_Hall '-R 3'
loop_
_atom_site_label
_atom_site_fract_x
_atom_site_fract_y
_atom_site_fract_z
Ca1 0.0000 0.0000 0.0000
H1 0.0041 0.3294 0.4149
Pd1 0.0000 0.0000 0.3344
Pd2 0.0004 0.3312 0.2211
```

What is the DOS(E_F) in the third record? 4.015 states/eV/f.u.

The lowest DOS(E_F) belongs to which entry? RuICl3